A plane-wave DFT calculation with GGA-PBE was carried out for a geometry-optimized Pr2ZnH structure.

POSCAR file:
```
Pr2ZnH
1.0
1.7346 1.0015 9.4642
-1.7346 1.0015 9.4642
0.0000 -2.0029 9.4642
Pr Zn H
2 1 1
Cartesian
0.0000 0.0000 3.1553
0.0000 0.0000 25.2374
0.0000 0.0000 0.0000
0.0000 0.0000 14.1963
```

Properties
SG = R-3m, No. 166
Crystal system = trigonal
DOS at the Fermi energy = 3.204 states/eV/f.u.
Final energy = -3.45 eV/atom
Distance to the lowest polymorph of the same formula = 397 meV per atom